First-principles (PBE) data for a geometry-optimized SrAl2Te structure, as listed in Alexandria.

Output
Calculated volume = 29.6 Å³ per atom
DFT total energy = -51.59 eV per cell
Formation energy without anion corrections = -0.15 eV/atom
Total magnetic moment = 0.00 μB per atom
ρ = 3.8 Mg/m³

Cell lengths 8.5873, 8.5873, 6.4118 Å; angles 90.00, 90.00, 90.00 degrees
Last column: nearest neighbours and their distance in Å.
Space group I-42d (No. 122)
Inequivalent atoms, fractional coordinates:
Sr (0.0000, 0.0000, 0.0000)  2 Te 3.21, 4 Al 3.35
Al (0.2157, 0.2500, 0.6250)  2 Te 2.95, 2 Al 3.26
Te (0.0000, 0.0000, 0.5000)  4 Al 2.95, 2 Sr 3.21